{
  "formula": "Tl2Fe3NiF12",
  "functional": "PBE with a Hubbard U",
  "state": "optimized geometry",
  "mass_density_g_cm3": 4.92,
  "spacegroup": "R-3m (166)",
  "dos_at_fermi_per_ev_cell": 5.6,
  "e_tot_ev_per_atom": -4.8710,
  "volume_a3_per_fu": 291.47,
  "lattice_angstrom": [[3.7452, 2.1623, 5.9985], [-3.7452, 2.1623, 5.9985], [0.0000, -4.3246, 5.9985]],
  "species": ["Tl", "Tl", "Fe", "Fe", "Fe", "Ni", "F", "F", "F", "F", "F", "F", "F", "F", "F", "F", "F", "F"],
  "frac_coords": [[0.1545, 0.1545, 0.1545], [0.8455, 0.8455, 0.8455], [0.0000, 0.5000, 0.5000], [0.5000, 0.0000, 0.5000], [0.5000, 0.5000, 0.0000], [0.5000, 0.5000, 0.5000], [0.1762, 0.5717, 0.5717], [0.1829, 0.1829, 0.5611], [0.1829, 0.5611, 0.1829], [0.4283, 0.4283, 0.8238], [0.4283, 0.8238, 0.4283], [0.4389, 0.8171, 0.8171], [0.5611, 0.1829, 0.1829], [0.5717, 0.1762, 0.5717], [0.5717, 0.5717, 0.1762], [0.8171, 0.4389, 0.8171], [0.8171, 0.8171, 0.4389], [0.8238, 0.4283, 0.4283]]
}